No. 1
# FeTePtRh2

FeTePtRh2 after structural relaxation (PBE-GGA, the Alexandria database).

a b c (Å): 4.786 4.786 4.921
angles (deg): 90.00 90.00 90.00
Atoms (fractional coordinates):
Fe: 0.000 0.000 0.000
Te: 0.500 0.500 0.500
Pt: 0.500 0.500 0.000
Rh: 0.000 0.500 0.500
Rh: 0.500 0.000 0.500

Computed properties:
As for the uncorrected formation energy: 1143.3 meV per atom. The size of the total moment comes out at 3.8 μB/cell. The space group is P4/mmm, No. 123.



No. 2
# La2Fe5C4

La2Fe5C4 after structural relaxation (PBE-GGA, the Alexandria database).

a b c (Å): 7.040 5.744 5.425
angles (deg): 78.09 52.97 48.94
Atoms (fractional coordinates):
La: 0.146 0.146 0.854
La: 0.854 0.854 0.146
Fe: 0.000 0.000 0.500
Fe: 0.250 0.250 0.250
Fe: 0.500 0.500 0.000
Fe: 0.500 0.500 0.500
Fe: 0.750 0.750 0.750
C: 0.205 0.538 0.462
C: 0.462 0.795 0.205
C: 0.538 0.205 0.795
C: 0.795 0.462 0.538

Computed properties:
The energy of formation from the pure elements comes out at -124 kJ/mol of formula units. The size of the total moment comes out at 0.0 μB/cell. The space group is Fmmm, No. 69.



No. 3
# Tc3Ir5

Tc3Ir5 after structural relaxation (PBE-GGA, the Alexandria database).

a b c (Å): 7.571 7.571 4.955
angles (deg): 90.00 90.00 120.00
Atoms (fractional coordinates):
Tc: 0.000 0.417 0.250
Tc: 0.000 0.583 0.750
Tc: 0.417 0.000 0.250
Tc: 0.417 0.417 0.750
Tc: 0.583 0.000 0.750
Tc: 0.583 0.583 0.250
Ir: 0.000 0.204 0.750
Ir: 0.000 0.796 0.250
Ir: 0.204 0.000 0.750
Ir: 0.204 0.204 0.250
Ir: 0.333 0.667 0.000
Ir: 0.333 0.667 0.500
Ir: 0.667 0.333 0.000
Ir: 0.667 0.333 0.500
Ir: 0.796 0.000 0.250
Ir: 0.796 0.796 0.750

Computed properties:
The energy of formation from the pure elements comes out at 304 kJ/mol of formula units. The size of the total moment comes out at 0.0 μB/cell. The space group is P6_3/mcm, No. 193. The excess energy over the best structure of this formula in the dataset is 0.546 eV/atom.



No. 4
# PaNbRu

PaNbRu after structural relaxation (PBE-GGA, the Alexandria database).

a b c (Å): 4.616 4.616 3.001
angles (deg): 90.00 90.00 120.00
Atoms (fractional coordinates):
Pa: 0.000 0.000 0.000
Nb: 0.333 0.667 0.734
Ru: 0.667 0.333 0.279

Computed properties:
The energy of formation from the pure elements comes out at -8 kJ/mol of formula units. The size of the total moment comes out at 0.0 μB/cell. The space group is P3m1, No. 156. The excess energy over the best structure of this formula in the dataset is 0.169 eV/atom.



No. 5
# HgAs2OsSe

HgAs2OsSe after structural relaxation (PBE-GGA, the Alexandria database).

a b c (Å): 4.667 4.667 5.619
angles (deg): 90.00 90.00 90.00
Atoms (fractional coordinates):
Hg: 0.000 0.000 0.000
As: 0.000 0.500 0.500
As: 0.500 0.000 0.500
Os: 0.500 0.500 0.500
Se: 0.500 0.500 0.000

Computed properties:
As for the uncorrected formation energy: 531.2 meV per atom. The size of the total moment comes out at 0.0 μB/cell. The space group is P4/mmm, No. 123. The excess energy over the best structure of this formula in the dataset is 0.000 eV/atom.



No. 6
# Hf4SiC2

Hf4SiC2 after structural relaxation (PBE-GGA, the Alexandria database).

a b c (Å): 5.821 5.821 11.583
angles (deg): 90.00 90.00 146.28
Atoms (fractional coordinates):
Hf: 0.000 0.000 0.000
Hf: 0.000 0.000 0.500
Hf: 0.264 0.736 0.609
Hf: 0.264 0.736 0.891
Hf: 0.426 0.574 0.250
Hf: 0.574 0.426 0.750
Hf: 0.736 0.264 0.109
Hf: 0.736 0.264 0.391
Si: 0.108 0.892 0.250
Si: 0.892 0.108 0.750
C: 0.364 0.636 0.061
C: 0.364 0.636 0.439
C: 0.636 0.364 0.561
C: 0.636 0.364 0.939

Computed properties:
As for the uncorrected formation energy: -812.2 meV per atom. The size of the total moment comes out at 0.0 μB/cell. The space group is Cmcm, No. 63.



No. 7
# As5Au3I12

As5Au3I12 after structural relaxation (PBE-GGA, the Alexandria database).

a b c (Å): 15.731 15.731 15.731
angles (deg): 109.47 109.47 109.47
Atoms (fractional coordinates):
As: 0.000 0.000 0.000
As: 0.000 0.000 0.500
As: 0.000 0.500 0.000
As: 0.000 0.500 0.500
As: 0.125 0.750 0.875
As: 0.125 0.875 0.250
As: 0.250 0.125 0.875
As: 0.250 0.625 0.375
As: 0.375 0.250 0.625
As: 0.375 0.625 0.750
As: 0.500 0.000 0.000
As: 0.500 0.000 0.500
As: 0.500 0.500 0.000
As: 0.500 0.500 0.500
As: 0.625 0.375 0.250
As: 0.625 0.750 0.375
As: 0.750 0.375 0.625
As: 0.750 0.875 0.125
As: 0.875 0.125 0.750
As: 0.875 0.250 0.125
Au: 0.125 0.250 0.375
Au: 0.125 0.375 0.750
Au: 0.250 0.375 0.125
Au: 0.250 0.875 0.625
Au: 0.375 0.125 0.250
Au: 0.375 0.750 0.125
Au: 0.625 0.250 0.875
Au: 0.625 0.875 0.750
Au: 0.750 0.125 0.375
Au: 0.750 0.625 0.875
Au: 0.875 0.625 0.250
Au: 0.875 0.750 0.625
I: 0.036 0.214 0.111
I: 0.036 0.322 0.925
I: 0.075 0.611 0.397
I: 0.075 0.964 0.678
I: 0.103 0.714 0.678
I: 0.103 0.889 0.425
I: 0.111 0.036 0.214
I: 0.111 0.575 0.897
I: 0.178 0.214 0.603
I: 0.178 0.464 0.575
I: 0.214 0.111 0.036
I: 0.214 0.603 0.178
I: 0.286 0.322 0.897
I: 0.286 0.464 0.389
I: 0.322 0.897 0.286
I: 0.322 0.925 0.036
I: 0.389 0.286 0.464
I: 0.389 0.603 0.925
I: 0.397 0.075 0.611
I: 0.397 0.822 0.786
I: 0.425 0.103 0.889
I: 0.425 0.822 0.536
I: 0.464 0.389 0.286
I: 0.464 0.575 0.178
I: 0.536 0.425 0.822
I: 0.536 0.611 0.714
I: 0.575 0.178 0.464
I: 0.575 0.897 0.111
I: 0.603 0.178 0.214
I: 0.603 0.925 0.389
I: 0.611 0.397 0.075
I: 0.611 0.714 0.536
I: 0.678 0.075 0.964
I: 0.678 0.103 0.714
I: 0.714 0.536 0.611
I: 0.714 0.678 0.103
I: 0.786 0.397 0.822
I: 0.786 0.889 0.964
I: 0.822 0.536 0.425
I: 0.822 0.786 0.397
I: 0.889 0.425 0.103
I: 0.889 0.964 0.786
I: 0.897 0.111 0.575
I: 0.897 0.286 0.322
I: 0.925 0.036 0.322
I: 0.925 0.389 0.603
I: 0.964 0.678 0.075
I: 0.964 0.786 0.889

Computed properties:
As for the uncorrected formation energy: 368.2 meV per atom. The size of the total moment comes out at 0.0 μB/cell. The space group is Ia-3d, No. 230.



No. 8
# CaZr2Pb

CaZr2Pb after structural relaxation (PBE-GGA, the Alexandria database).

a b c (Å): 4.464 4.484 5.028
angles (deg): 90.00 90.00 90.00
Atoms (fractional coordinates):
Ca: 0.000 0.000 0.000
Zr: 0.000 0.500 0.500
Zr: 0.500 0.000 0.500
Pb: 0.500 0.500 0.000

Computed properties:
The energy of formation from the pure elements comes out at 13 kJ/mol of formula units. The size of the total moment comes out at 0.0 μB/cell. The space group is Pmmm, No. 47.



Look up the size of the total moment of the second one. 0.0 μB/cell